1.
Below is a relaxed structure of CsAlAgSe2, with properties calculated at the PBE level.

Calculated values
* space group: Cmme, No. 67
* energy relative to the elements, uncorrected: -0.662 eV/atom

Unit cell a=7.5539 b=7.5539 c=8.6669 alpha=90.00 beta=90.00 gamma=133.54
With the nearest neighbours (Å) after each atom.
Atoms (fractional coordinates):
Cs: 0.2500 0.7500 0.7732  6 Se 3.72-3.94
Cs: 0.7500 0.2500 0.2268  6 Se 3.72-3.94
Al: 0.2500 0.2500 0.0000  4 Se 2.40
Al: 0.7500 0.7500 0.0000  4 Se 2.40
Ag: 0.0000 0.0000 0.5000  2 Ag 2.98, 2 Se 3.27
Ag: 0.5000 0.5000 0.5000  2 Ag 2.98, 2 Se 3.27
Se: 0.0955 0.9045 0.1547  2 Al 2.40
Se: 0.4045 0.5955 0.1547  2 Al 2.40
Se: 0.5955 0.4045 0.8453  2 Al 2.40
Se: 0.9045 0.0955 0.8453  2 Al 2.40



2.
Below is a relaxed structure of ReS2I, with properties calculated at the PBE level.

Calculated values
* space group: P1, No. 1
* energy relative to the elements, uncorrected: -0.065 eV/atom

Unit cell a=3.2131 b=3.2694 c=10.8634 alpha=86.97 beta=87.35 gamma=67.18
With the nearest neighbours (Å) after each atom.
Atoms (fractional coordinates):
Re: 0.0000 0.0000 0.0000  6 S 2.39-2.42
S: 0.3368 0.3413 0.1313  3 Re 2.39-2.42
S: 0.6634 0.6590 0.8685  3 Re 2.39-2.42
I: 0.6673 0.6654 0.4757  6 I 3.21-3.59



3.
Below is a relaxed structure of Nb4Pd, with properties calculated at the PBE level.

Calculated values
* energy relative to the elements: 1362 meV per atom
* space group: Pm-3m, No. 221

Unit cell a=4.8146 b=4.8146 c=4.8146 alpha=90.00 beta=90.00 gamma=90.00
With the nearest neighbours (Å) after each atom.
Atoms (fractional coordinates):
Nb: 0.0000 0.0000 0.0000  12 Nb 3.40
Nb: 0.0000 0.5000 0.5000  2 Pd 2.41
Nb: 0.5000 0.0000 0.5000  2 Pd 2.41
Nb: 0.5000 0.5000 0.0000  2 Pd 2.41
Pd: 0.5000 0.5000 0.5000  6 Nb 2.41



4.
Below is a relaxed structure of BaAcInAg, with properties calculated at the PBE level.

Calculated values
* energy relative to the elements: -296 meV per atom
* space group: F-43m, No. 216

Unit cell a=5.8168 b=5.8168 c=5.8168 alpha=60.00 beta=60.00 gamma=60.00
With the nearest neighbours (Å) after each atom.
Atoms (fractional coordinates):
Ba: 0.0000 0.0000 0.0000  4 In 3.56, 4 Ag 3.56
Ac: 0.5000 0.5000 0.5000  4 In 3.56, 4 Ag 3.56
In: 0.7500 0.7500 0.7500  4 Ac 3.56, 4 Ba 3.56
Ag: 0.2500 0.2500 0.2500  4 Ac 3.56, 4 Ba 3.56



5.
Below is a relaxed structure of Dy3Te2O, with properties calculated at the PBE level.

Calculated values
* space group: Cmc2_1, No. 36
* energy relative to the elements, uncorrected: -1.605 eV/atom

Unit cell a=8.2526 b=8.2526 c=6.0441 alpha=90.00 beta=90.00 gamma=58.91
With the nearest neighbours (Å) after each atom.
Atoms (fractional coordinates):
Dy: 0.0943 0.9057 0.5000  1 O 2.21
Dy: 0.1119 0.6037 0.9654  1 O 2.19
Dy: 0.3963 0.8881 0.9654  1 O 2.19
Dy: 0.6037 0.1119 0.4654  1 O 2.19
Dy: 0.8881 0.3963 0.4654  1 O 2.19
Dy: 0.9057 0.0943 0.0000  1 O 2.21
Te: 0.2084 0.4858 0.4658  5 Dy 3.09-3.15
Te: 0.4858 0.2084 0.9658  5 Dy 3.09-3.15
Te: 0.5142 0.7916 0.4658  5 Dy 3.09-3.15
Te: 0.7916 0.5142 0.9658  5 Dy 3.09-3.15
O: 0.1688 0.8312 0.9036  3 Dy 2.19-2.21
O: 0.8312 0.1688 0.4036  3 Dy 2.19-2.21



6.
Below is a relaxed structure of NaSr2Pd, with properties calculated at the PBE level.

Calculated values
* energy relative to the elements: -229 meV per atom
* space group: R-3m, No. 166

Unit cell a=11.3665 b=11.3665 c=11.3665 alpha=21.85 beta=21.85 gamma=21.85
With the nearest neighbours (Å) after each atom.
Atoms (fractional coordinates):
Na: 0.0000 0.0000 0.0000  2 Sr 3.84
Sr: 0.1155 0.1155 0.1155  3 Pd 3.01
Sr: 0.8845 0.8845 0.8845  3 Pd 3.01
Pd: 0.5000 0.5000 0.5000  6 Sr 3.01



7.
Below is a relaxed structure of ScZnOs2, with properties calculated at the PBE level.

Calculated values
* energy relative to the elements: 33 meV per atom
* space group: P2/m, No. 10

Unit cell a=2.7795 b=4.4499 c=5.0326 alpha=90.00 beta=95.27 gamma=90.00
With the nearest neighbours (Å) after each atom.
Atoms (fractional coordinates):
Sc: 0.0000 0.0000 0.0000  4 Os 2.75, 4 Zn 2.76-2.98, 2 Sc 2.78
Zn: 0.5000 0.0000 0.5000  4 Os 2.61, 2 Sc 2.76, 2 Zn 2.78
Os: 0.2851 0.5000 0.7337  2 Zn 2.61, 5 Os 2.71-2.83, 2 Sc 2.75
Os: 0.7149 0.5000 0.2663  2 Zn 2.61, 5 Os 2.71-2.83, 2 Sc 2.75



8.
Below is a relaxed structure of POsN2, with properties calculated at the PBE level.

Calculated values
* space group: Cm, No. 8
* energy relative to the elements, uncorrected: 0.284 eV/atom

Unit cell a=3.7533 b=3.7533 c=5.4451 alpha=110.81 beta=110.81 gamma=43.11
With the nearest neighbours (Å) after each atom.
Atoms (fractional coordinates):
P: 0.0000 0.0000 0.0000  3 N 1.68-1.72
Os: 0.7295 0.7295 0.6164  4 N 2.02-2.19, 1 P 2.22
N: 0.0650 0.0650 0.7249  1 P 1.72
N: 0.5906 0.5906 0.1857  2 P 1.68



Repeat the first record exactly.
Below is a relaxed structure of CsAlAgSe2, with properties calculated at the PBE level.

Calculated values
* space group: Cmme, No. 67
* energy relative to the elements, uncorrected: -0.662 eV/atom

Unit cell a=7.5539 b=7.5539 c=8.6669 alpha=90.00 beta=90.00 gamma=133.54
With the nearest neighbours (Å) after each atom.
Atoms (fractional coordinates):
Cs: 0.2500 0.7500 0.7732  6 Se 3.72-3.94
Cs: 0.7500 0.2500 0.2268  6 Se 3.72-3.94
Al: 0.2500 0.2500 0.0000  4 Se 2.40
Al: 0.7500 0.7500 0.0000  4 Se 2.40
Ag: 0.0000 0.0000 0.5000  2 Ag 2.98, 2 Se 3.27
Ag: 0.5000 0.5000 0.5000  2 Ag 2.98, 2 Se 3.27
Se: 0.0955 0.9045 0.1547  2 Al 2.40
Se: 0.4045 0.5955 0.1547  2 Al 2.40
Se: 0.5955 0.4045 0.8453  2 Al 2.40
Se: 0.9045 0.0955 0.8453  2 Al 2.40